Below is crystalline Rb2Tl6SbPt at its relaxed geometry, with properties calculated at the GGA-PBE level.

abc: 13.114 13.114 13.114
angles: 38.66 38.66 38.66
Sites, in units of the cell vectors:
Rb 0.148 0.148 0.148
Rb 0.283 0.283 0.283
Rb 0.717 0.717 0.717
Rb 0.852 0.852 0.852
Tl 0.172 0.587 0.587
Tl 0.187 0.187 0.791
Tl 0.187 0.791 0.187
Tl 0.209 0.813 0.813
Tl 0.413 0.413 0.828
Tl 0.413 0.828 0.413
Tl 0.587 0.172 0.587
Tl 0.587 0.587 0.172
Tl 0.791 0.187 0.187
Tl 0.813 0.209 0.813
Tl 0.813 0.813 0.209
Tl 0.828 0.413 0.413
Sb 0.380 0.380 0.380
Sb 0.620 0.620 0.620
Pt 0.000 0.000 0.000
Pt 0.500 0.500 0.500

crystal system: trigonal
total magnetic moment: 0.00 μB per formula unit
ΔE_f (raw): -78 meV per atom
final energy: -2.71 eV/atom
SG: R-3m, No. 166